Record 1
VCdBI2: relaxed, PBE.

Values from the calculation:
The value obtained for the density of states at the Fermi level is 1.42 states/eV/atom. For the uncorrected formation energy, the calculation gives 1.291 eV per atom. The total energy is -2.671 eV/atom.

abc: 5.306 5.504 5.306
angles: 90.00 90.00 90.00
Site moments in Bohr magnetons follow the coordinates.
Element x y z (fractional)
V 0.000 0.000 0.000  -0.36
Cd 0.000 0.500 0.000  0.00
B 0.500 0.500 0.500  0.32
I 0.000 0.000 0.500  0.01
I 0.500 0.000 0.000  0.03

***

Record 2
BaBe2Co2: relaxed, PBE.

Values from the calculation:
The value obtained for the density of states at the Fermi level is 0.73 states/eV/atom. The value obtained for the formation energy is 0.4579 eV per atom. The total energy is -4.259 eV/atom. For the energy above the lowest structure with this stoichiometry, the calculation gives 0.96 eV/f.u.

abc: 7.146 7.146 2.885
angles: 90.00 90.00 90.00
Site moments in Bohr magnetons follow the coordinates.
Element x y z (fractional)
Co 0.635 0.135 0.000  0.35
Co 0.865 0.635 0.000  0.33
Co 0.365 0.865 0.000  0.35
Co 0.135 0.365 0.000  0.33
Be 0.391 0.109 0.500  -0.02
Be 0.109 0.609 0.500  -0.02
Be 0.891 0.391 0.500  -0.02
Be 0.609 0.891 0.500  -0.02
Ba 0.500 0.500 0.000  -0.02
Ba 0.000 0.000 0.000  -0.02

***

Record 3
SrScF3: relaxed, PBE.

Values from the calculation:
The value obtained for the density of states at the Fermi level is 0.68 states/eV/atom. For the uncorrected formation energy, the calculation gives -2.482 eV per atom. The total energy is -5.207 eV/atom. For the energy above the lowest structure with this stoichiometry, the calculation gives 1.54 eV/f.u.

abc: 4.718 4.718 4.718
angles: 90.00 90.00 90.00
Site moments in Bohr magnetons follow the coordinates.
Element x y z (fractional)
Sr 0.000 0.000 0.000  0.00
F 0.500 0.000 0.000  0.02
F 0.000 0.500 0.000  0.03
F 0.000 0.000 0.500  0.01
Sc 0.500 0.500 0.500  1.18

***

Record 4
TaRh3: relaxed, PBE.

Values from the calculation:
The value obtained for the density of states at the Fermi level is 1.37 states/eV/atom. The value obtained for the formation energy is -0.3201 eV per atom. The total energy is -8.797 eV/atom.

abc: 4.801 4.801 4.739
angles: 79.42 79.42 34.25
Element x y z (fractional)
Rh 0.253 0.253 0.751
Rh 0.500 0.500 0.000
Rh 0.747 0.747 0.249
Ta 0.000 0.000 0.500